A.
A geometry-optimized SmDyTmTl structure. Source: the Alexandria database, functional PBE.

The structure in POSCAR format:
```
SmDyTmTl
1.0
-2.2551 -1.8509 -4.6419
-0.9255 -5.3648 -0.6489
-5.1360 -1.9182 0.0223
Sm Dy Tm Tl
1 1 1 1
Cartesian
-6.2374 -6.8504 -3.9514 Sm
-2.0791 -2.2835 -1.3171 Dy
0.0000 0.0000 0.0000 Tm
-4.1583 -4.5669 -2.6343 Tl
```

- Crystal system: cubic
- Calculated volume: 29.13 Å³ per atom
- Space group: F-43m (216)
- Total magnetization: 1.2 μB/cell

B.
A geometry-optimized SmDyTmTl structure. Source: the Alexandria database, functional PBE.

The structure in POSCAR format:
```
SmDyTmTl
1.0
4.8916 0.0000 0.0000
0.0000 4.8304 0.0000
0.0000 0.0000 4.8654
Tm Tl Dy Sm
1 1 1 1
Cartesian
0.0000 2.4152 2.4327 Tm
0.0000 0.0000 0.0000 Tl
2.4458 2.4152 0.0000 Dy
2.4458 0.0000 2.4327 Sm
```

- Crystal system: orthorhombic
- Calculated volume: 28.74 Å³ per atom
- Space group: Pmmm (47)
- Total magnetization: 0.7 μB/cell

Which is the most stable structure? B is the most stable.

A.
A geometry-optimized SmDyYTl structure. Source: the Alexandria database, functional PBE.

The structure in POSCAR format:
```
SmDyYTl
1.0
-1.8327 -3.9209 2.2546
1.3346 -2.8225 -3.8238
4.2995 -0.8051 2.0949
Tl Sm Y Dy
1 1 1 1
Cartesian
1.2334 -2.3630 2.1747 Tl
2.8170 -1.8138 -0.8644 Sm
0.0000 0.0000 0.0000 Y
-0.2491 -3.3717 -0.7846 Dy
```

- Crystal system: orthorhombic
- Calculated volume: 29.21 Å³ per atom
- Space group: Pmmm (47)
- Total magnetization: 0.9 μB/cell

B.
A geometry-optimized SmDyYTl structure. Source: the Alexandria database, functional PBE.

The structure in POSCAR format:
```
SmDyYTl
1.0
-1.3582 1.7357 5.0498
-4.3703 -2.1556 2.5713
0.7168 -3.3187 4.3394
Tl Y Sm Dy
1 1 1 1
Cartesian
0.0000 0.0000 0.0000 Tl
-3.7589 -2.8040 8.9704 Y
-1.2530 -0.9347 2.9901 Sm
-2.5059 -1.8693 5.9802 Dy
```

- Crystal system: cubic
- Calculated volume: 29.57 Å³ per atom
- Space group: F-43m (216)
- Total magnetization: 1.5 μB/cell

Which is the most stable structure? A is the most stable.

A.
A geometry-optimized Sm3DyTm4 structure. Source: the Alexandria database, functional PBE.

The structure in POSCAR format:
```
Sm3DyTm4
1.0
3.3426 0.1353 -0.8677
-1.6220 10.3834 -4.7998
0.5188 -2.4406 8.4596
Tm Sm Dy
4 3 1
Cartesian
1.6600 3.3809 -0.0958 Tm
0.5794 4.6972 2.8880 Tm
0.8255 8.6661 -2.5354 Tm
1.4139 -0.5880 5.3276 Tm
0.6728 1.3749 2.7448 Sm
-0.8110 5.1917 -2.3999 Sm
1.5666 6.7032 0.0473 Sm
1.6713 0.0677 -0.4338 Dy
```

- Crystal system: triclinic
- Calculated volume: 32.15 Å³ per atom
- Space group: P-1 (2)
- Total magnetization: 0.0 μB/cell

B.
A geometry-optimized Sm3DyTm4 structure. Source: the Alexandria database, functional PBE.

The structure in POSCAR format:
```
Sm3DyTm4
1.0
-4.9063 2.9970 -2.4718
-0.8432 -5.3553 -4.8195
-6.8772 -5.3568 7.1557
Tm Sm Dy
8 6 2
Cartesian
-4.9064 -6.9389 -1.0223 Tm
-10.0794 -1.7347 2.3629 Tm
-3.2826 1.2918 -2.1878 Tm
-4.8257 -4.6071 -3.6258 Tm
-6.7196 -1.3895 1.3894 Tm
-1.4656 -4.2598 -4.5975 Tm
-8.2511 -7.2751 -0.0618 Tm
-6.6276 0.9540 -1.2288 Tm
-4.4739 -4.2334 1.4187 Sm
-7.0653 -1.7554 -3.6624 Sm
-3.7033 -1.4209 -4.6228 Sm
-4.3988 -1.8911 -1.1977 Sm
-7.8360 -4.5684 2.3788 Sm
-10.5052 -4.4349 -0.0831 Sm
-1.0325 -1.5465 -2.1500 Dy
-7.1420 -4.1094 -1.0527 Dy
```

- Crystal system: orthorhombic
- Calculated volume: 32.00 Å³ per atom
- Space group: Pmn2_1 (31)
- Total magnetization: 0.0 μB/cell

Which is the most stable structure? B is the most stable.

A.
A geometry-optimized Sm2DyTm9 structure. Source: the Alexandria database, functional PBE.

The structure in POSCAR format:
```
Sm2DyTm9
1.0
3.4733 0.0000 0.0000
0.0000 11.1109 0.0000
0.0000 -5.5554 9.6223
Sm Tm Dy
2 9 1
Cartesian
0.0000 5.5554 3.2074 Sm
0.0000 0.0000 6.4149 Sm
1.7366 8.1890 1.6870 Tm
1.7366 0.0000 3.3739 Tm
0.0000 -2.7777 4.8112 Tm
0.0000 2.7777 4.8112 Tm
1.7366 2.9219 1.6870 Tm
1.7366 5.5554 6.2484 Tm
0.0000 5.5554 0.0000 Tm
1.7366 2.6335 7.9353 Tm
1.7366 -2.6335 7.9353 Tm
0.0000 0.0000 0.0000 Dy
```

- Crystal system: hexagonal
- Calculated volume: 30.94 Å³ per atom
- Space group: P6/mmm (191)
- Total magnetization: 0.0 μB/cell

B.
A geometry-optimized Sm2DyTm9 structure. Source: the Alexandria database, functional PBE.

The structure in POSCAR format:
```
Sm2DyTm9
1.0
-4.3632 -1.9579 -1.3523
-1.3361 -0.3213 4.7761
-5.9092 13.6754 -0.7331
Tm Sm Dy
9 2 1
Cartesian
-2.8497 -1.1396 1.7119 Tm
-1.6450 2.1002 2.2669 Tm
-5.1362 5.8588 -1.0427 Tm
-5.6003 11.2539 1.7762 Tm
-6.7940 7.9887 1.2226 Tm
-4.8145 3.4076 1.4682 Tm
-3.1585 1.2819 -0.7973 Tm
-3.6226 6.6771 2.0215 Tm
-7.1139 10.4356 -1.2880 Tm
-1.9683 4.5551 -0.2442 Sm
-3.9409 9.1203 -0.4889 Sm
0.0000 0.0000 0.0000 Dy
```

- Crystal system: tetragonal
- Calculated volume: 30.70 Å³ per atom
- Space group: P4/mmm (123)
- Total magnetization: 0.0 μB/cell

Which is the most stable structure? B is the most stable.